# 1
Sc2BeCd: optimized geometry, PBE-GGA.

Lattice parameters (Å, degrees): 8.9929 8.9929 8.9929 21.04 21.04 21.04
Last column: nearest neighbours and their distance in Å.
Sites, in units of the cell vectors:
Sc: 0.0000 0.0000 0.0000  3 Cd 3.11, 9 Sc 3.27-3.28
Sc: 0.2323 0.2323 0.2323  3 Be 2.69
Be: 0.4931 0.4931 0.4931  3 Cd 2.58, 3 Sc 2.69
Cd: 0.7603 0.7603 0.7603  3 Be 2.58

Results
As for the symmetry: R3m, No. 160.

=====

# 2
ScBe2Cd: optimized geometry, PBE-GGA.

Lattice parameters (Å, degrees): 4.4058 4.4058 4.4038 119.29 119.29 91.24
Last column: nearest neighbours and their distance in Å.
Sites, in units of the cell vectors:
Sc: 0.0000 0.0000 0.0000  4 Be 2.70-2.71, 4 Cd 2.71
Be: 0.4997 0.5003 0.0000  4 Be 2.70-2.71, 4 Cd 2.71
Be: 0.7508 0.2492 0.5000  4 Be 2.70-2.71, 4 Sc 2.70-2.71
Cd: 0.2498 0.7502 0.5000  4 Sc 2.71, 4 Be 2.71

Results
As for the symmetry: C2, No. 5.

=====

# 3
Sc3BeCd: optimized geometry, PBE-GGA.

Lattice parameters (Å, degrees): 4.8556 4.8556 4.8556 90.00 90.00 90.00
Last column: nearest neighbours and their distance in Å.
Sites, in units of the cell vectors:
Sc: 0.0000 0.0000 0.5000  2 Be 2.43
Sc: 0.0000 0.5000 0.0000  2 Be 2.43
Sc: 0.5000 0.0000 0.0000  2 Be 2.43
Be: 0.0000 0.0000 0.0000  6 Sc 2.43
Cd: 0.5000 0.5000 0.5000  12 Sc 3.43

Results
As for the symmetry: Pm-3m, No. 221.

=====

Number 1: volume 20.5 Å³ per atom, relative energy among the computed polymorphs 375 meV per atom. Number 2: volume 15.3 Å³ per atom, relative energy among the computed polymorphs 155 meV per atom. Number 3: volume 22.9 Å³ per atom, relative energy among the computed polymorphs 0 meV per atom.